The following is a DFT calculation (GGA-PBE) of a geometry-optimized CrOsC3 structure.

Geometry as extended XYZ:
```
5
Lattice="3.745 0.000 0.000 0.000 3.745 0.000 0.000 0.000 3.745" Properties=species:S:1:pos:R:3 pbc="T T T"
Cr 0.000 0.000 0.000
C 0.000 1.873 0.000
C 0.000 0.000 1.873
C 1.873 0.000 0.000
Os 1.873 1.873 1.873
```

- energy relative to the elements (eV/atom) = 2.36
- polymorph energy (0 for the lowest one) (eV/f.u.) = 0.38
- E (eV for the cell shown) = -36.72
- size of the total moment (μB per cell) = 0.0